Density functional theory data (PBE) for an optimized crystal structure of CdHAu.

Unit cell a=9.347 b=4.251 c=5.428 alpha=90.00 beta=102.43 gamma=90.00
Atoms (fractional coordinates):
Cd 0.000 0.000 0.000
Cd 0.202 0.500 0.357
Cd 0.500 0.500 0.000
Cd 0.702 0.000 0.357
H 0.072 0.500 0.598
H 0.240 0.000 0.757
H 0.572 0.000 0.598
H 0.740 0.500 0.757
Au 0.311 0.000 0.108
Au 0.397 0.000 0.638
Au 0.811 0.500 0.108
Au 0.897 0.500 0.638

Crystal system   monoclinic
SG   Cm, No. 8
Total DFT energy (no corrections)   -29.4 eV for the cell shown